Entry from Alexandria via LeMat-Bulk: an optimized crystal structure of Pr3TlCu (PBE).

Formation enthalpy at 0 K   -0.077 eV/atom
DOS(E_F)   1.22 states/eV/atom
Calculated volume   612.6 Å³/cell
Crystal system   monoclinic
SG   No. 15

Lattice parameters (Å, degrees): 8.500 8.500 11.517 74.30 74.30 50.49
Positions (direct):
1 Pr 0.640 0.659 0.198
2 Pr 0.862 0.843 0.302
3 Pr 0.691 0.192 0.022
4 Pr 0.192 0.691 0.522
5 Pr 0.157 0.138 0.198
6 Pr 0.360 0.341 0.802
7 Pr 0.341 0.360 0.302
8 Pr 0.309 0.808 0.978
9 Pr 0.808 0.309 0.478
10 Pr 0.138 0.157 0.698
11 Pr 0.843 0.862 0.802
12 Pr 0.659 0.640 0.698
13 Cu 0.253 0.747 0.750
14 Cu 0.500 0.000 0.000
15 Cu 0.747 0.253 0.250
16 Cu 0.000 0.500 0.500
17 Tl 0.415 0.913 0.443
18 Tl 0.913 0.415 0.943
19 Tl 0.585 0.087 0.557
20 Tl 0.087 0.585 0.057

Entry from Alexandria via LeMat-Bulk: an optimized crystal structure of Pr6Tl3Cu (PBE).

Formation enthalpy at 0 K   -0.196 eV/atom
DOS(E_F)   0.92 states/eV/atom
Calculated volume   620.9 Å³/cell
Crystal system   orthorhombic
SG   No. 58

Lattice parameters (Å, degrees): 5.577 9.564 11.641 90.00 89.99 90.00
Positions (direct):
1 Pr 0.000 0.676 0.946
2 Pr 0.000 0.341 0.438
3 Pr 0.000 0.997 0.236
4 Pr 0.500 0.503 0.736
5 Pr 0.000 0.659 0.562
6 Pr 0.500 0.824 0.446
7 Pr 0.500 0.497 0.264
8 Pr 0.000 0.324 0.054
9 Pr 0.000 0.003 0.764
10 Pr 0.500 0.176 0.554
11 Pr 0.500 0.159 0.938
12 Pr 0.500 0.841 0.062
13 Cu 0.500 0.500 0.500
14 Cu 0.000 0.000 0.000
15 Tl 0.500 0.164 0.246
16 Tl 0.000 0.336 0.746
17 Tl 0.500 0.500 0.000
18 Tl 0.000 0.000 0.500
19 Tl 0.500 0.836 0.754
20 Tl 0.000 0.664 0.254

Entry from Alexandria via LeMat-Bulk: an optimized crystal structure of Pr6Tl2Cu (PBE).

Formation enthalpy at 0 K   -0.187 eV/atom
DOS(E_F)   1.27 states/eV/atom
Calculated volume   279.7 Å³/cell
Crystal system   hexagonal
SG   No. 189

Lattice parameters (Å, degrees): 4.445 8.521 8.524 119.99 90.00 90.00
Positions (direct):
1 Pr 0.000 0.000 0.244
2 Pr 0.500 0.587 0.000
3 Pr 0.500 0.000 0.586
4 Pr 0.500 0.414 0.414
5 Pr 0.000 0.243 0.000
6 Pr 0.000 0.756 0.756
7 Tl 0.000 0.334 0.667
8 Tl 0.000 0.667 0.333
9 Cu 0.500 0.000 0.000

Entry from Alexandria via LeMat-Bulk: an optimized crystal structure of Pr6TlCu2 (PBE).

Formation enthalpy at 0 K   -0.139 eV/atom
DOS(E_F)   1.10 states/eV/atom
Calculated volume   539.8 Å³/cell
Crystal system   orthorhombic
SG   No. 71

Lattice parameters (Å, degrees): 8.901 8.901 8.901 106.04 108.29 114.20
Positions (direct):
1 Pr 0.097 0.283 0.814
2 Pr 0.531 0.717 0.814
3 Pr 0.303 0.983 0.680
4 Pr 0.303 0.624 0.320
5 Pr 0.802 0.236 0.038
6 Pr 0.198 0.764 0.962
7 Pr 0.697 0.376 0.680
8 Pr 0.802 0.764 0.565
9 Pr 0.469 0.283 0.186
10 Pr 0.697 0.017 0.320
11 Pr 0.903 0.717 0.186
12 Pr 0.198 0.236 0.435
13 Cu 0.357 0.000 0.357
14 Cu 0.500 0.384 0.884
15 Cu 0.500 0.616 0.116
16 Cu 0.643 0.000 0.643
17 Tl 0.000 0.000 0.000
18 Tl 0.000 0.500 0.500

Entry from Alexandria via LeMat-Bulk: an optimized crystal structure of Pr12Tl3Cu (PBE).

Formation enthalpy at 0 K   -0.123 eV/atom
DOS(E_F)   1.41 states/eV/atom
Calculated volume   499.8 Å³/cell
Crystal system   tetragonal
SG   No. 123

Lattice parameters (Å, degrees): 5.021 5.021 19.828 90.00 90.00 90.00
Positions (direct):
1 Pr 0.500 0.500 0.000
2 Pr 0.500 0.000 0.628
3 Pr 0.500 0.000 0.372
4 Pr 0.500 0.000 0.117
5 Pr 0.000 0.500 0.883
6 Pr 0.000 0.500 0.628
7 Pr 0.000 0.500 0.117
8 Pr 0.500 0.500 0.243
9 Pr 0.500 0.000 0.883
10 Pr 0.500 0.500 0.757
11 Pr 0.000 0.500 0.372
12 Pr 0.500 0.500 0.500
13 Cu 0.000 0.000 0.000
14 Tl 0.000 0.000 0.755
15 Tl 0.000 0.000 0.245
16 Tl 0.000 0.000 0.500

Entry from Alexandria via LeMat-Bulk: an optimized crystal structure of Pr12TlCu6 (PBE).

Formation enthalpy at 0 K   -0.104 eV/atom
DOS(E_F)   1.34 states/eV/atom
Calculated volume   546.8 Å³/cell
Crystal system   cubic
SG   No. 204

Lattice parameters (Å, degrees): 8.923 8.923 8.923 109.47 109.47 109.47
Positions (direct):
1 Pr 0.300 0.112 0.812
2 Pr 0.513 0.812 0.700
3 Pr 0.812 0.300 0.112
4 Pr 0.487 0.188 0.300
5 Pr 0.700 0.888 0.188
6 Pr 0.188 0.300 0.487
7 Pr 0.300 0.487 0.188
8 Pr 0.188 0.700 0.888
9 Pr 0.812 0.700 0.513
10 Pr 0.112 0.812 0.300
11 Pr 0.700 0.513 0.812
12 Pr 0.888 0.188 0.700
13 Tl 0.000 0.000 0.000
14 Cu 0.120 0.620 0.500
15 Cu 0.620 0.500 0.120
16 Cu 0.500 0.880 0.380
17 Cu 0.380 0.500 0.880
18 Cu 0.880 0.380 0.500
19 Cu 0.500 0.120 0.620

Entry from Alexandria via LeMat-Bulk: an optimized crystal structure of Pr4TlCu2 (PBE).

Formation enthalpy at 0 K   -0.025 eV/atom
DOS(E_F)   1.20 states/eV/atom
Calculated volume   207.3 Å³/cell
Crystal system   trigonal
SG   No. 166

Lattice parameters (Å, degrees): 5.110 5.110 9.632 74.62 74.62 60.00
Positions (direct):
1 Tl 0.000 0.000 0.000
2 Pr 0.384 0.384 0.849
3 Pr 0.205 0.205 0.384
4 Pr 0.616 0.616 0.151
5 Pr 0.795 0.795 0.616
6 Cu 0.900 0.900 0.300
7 Cu 0.100 0.100 0.700

Entry from Alexandria via LeMat-Bulk: an optimized crystal structure of Pr4Tl5Cu2 (PBE).

Formation enthalpy at 0 K   -0.260 eV/atom
DOS(E_F)   0.89 states/eV/atom
Calculated volume   305.1 Å³/cell
Crystal system   monoclinic
SG   No. 10

Lattice parameters (Å, degrees): 3.853 8.078 9.819 93.26 90.00 90.00
Positions (direct):
1 Pr 0.500 0.803 0.148
2 Pr 0.500 0.225 0.423
3 Pr 0.500 0.197 0.852
4 Pr 0.500 0.775 0.577
5 Tl 0.000 0.447 0.663
6 Tl 0.000 0.146 0.140
7 Tl 0.000 0.500 0.000
8 Tl 0.000 0.553 0.337
9 Tl 0.000 0.854 0.860
10 Cu 0.000 0.931 0.378
11 Cu 0.000 0.069 0.622

Repeat the fourth record exactly.
Entry from Alexandria via LeMat-Bulk: an optimized crystal structure of Pr6TlCu2 (PBE).

Formation enthalpy at 0 K   -0.139 eV/atom
DOS(E_F)   1.10 states/eV/atom
Calculated volume   539.8 Å³/cell
Crystal system   orthorhombic
SG   No. 71

Lattice parameters (Å, degrees): 8.901 8.901 8.901 106.04 108.29 114.20
Positions (direct):
1 Pr 0.097 0.283 0.814
2 Pr 0.531 0.717 0.814
3 Pr 0.303 0.983 0.680
4 Pr 0.303 0.624 0.320
5 Pr 0.802 0.236 0.038
6 Pr 0.198 0.764 0.962
7 Pr 0.697 0.376 0.680
8 Pr 0.802 0.764 0.565
9 Pr 0.469 0.283 0.186
10 Pr 0.697 0.017 0.320
11 Pr 0.903 0.717 0.186
12 Pr 0.198 0.236 0.435
13 Cu 0.357 0.000 0.357
14 Cu 0.500 0.384 0.884
15 Cu 0.500 0.616 0.116
16 Cu 0.643 0.000 0.643
17 Tl 0.000 0.000 0.000
18 Tl 0.000 0.500 0.500